No. 1
Compound: LiRh2Br
Source: the Alexandria database
Functional: PBE
Structure: relaxed

The structure in extended XYZ format:
```
8
Lattice="-2.877 2.877 5.040 2.877 -2.877 5.040 2.877 2.877 -5.040" Properties=species:S:1:pos:R:3 pbc="T T T"
Li 0.000 0.000 0.000
Li 0.000 2.877 2.520
Rh 1.439 -1.415 3.780
Rh 1.462 1.439 1.260
Rh 1.439 4.292 -1.260
Rh 1.415 1.439 6.299
Br 2.877 0.000 2.520
Br 0.000 0.000 5.040
```

ΔE to the lowest computed polymorph: 793.7 meV/atom
ρ: 5.825 g/cm3
raw formation energy: 17.96 kcal/mol of atoms

No. 2
Compound: Cs2BeSi
Source: the Alexandria database
Functional: PBE
Structure: relaxed

The structure in extended XYZ format:
```
4
Lattice="0.000 4.285 4.285 4.285 0.000 4.285 4.285 4.285 0.000" Properties=species:S:1:pos:R:3 pbc="T T T"
Cs 2.142 2.142 2.142
Cs 6.427 6.427 6.427
Be 0.000 0.000 0.000
Si 4.285 4.285 4.285
```

ρ: 3.197 g/cm3
raw formation energy: 24.33 kcal/mol of atoms

No. 3
Compound: TcSnBrF2
Source: the Alexandria database
Functional: PBE
Structure: relaxed

The structure in extended XYZ format:
```
5
Lattice="4.338 0.000 0.000 0.000 4.338 0.000 0.000 0.000 5.336" Properties=species:S:1:pos:R:3 pbc="T T T"
Tc 0.000 0.000 0.000
Sn 2.169 2.169 2.668
Br 0.000 0.000 2.668
F 0.000 2.169 0.000
F 2.169 0.000 0.000
```

ρ: 5.533 g/cm3
raw formation energy: -13.60 kcal/mol of atoms

No. 4
Compound: HfSnPd
Source: the Alexandria database
Functional: PBE
Structure: relaxed

The structure in extended XYZ format:
```
3
Lattice="4.605 0.000 0.000 -2.303 3.988 0.000 0.000 0.000 3.176" Properties=species:S:1:pos:R:3 pbc="T T T"
Hf 0.000 0.000 0.000
Sn 2.303 1.329 1.588
Pd 0.000 2.659 1.588
```

formation enthalpy at 0 K: -1.73 eV per formula unit
ρ: 11.489 g/cm3

No. 5
Compound: MgCrAg2Cl6
Source: the Alexandria database
Functional: PBE
Structure: relaxed

The structure in extended XYZ format:
```
10
Lattice="6.559 0.000 0.000 3.049 5.929 0.000 0.014 3.406 5.861" Properties=species:S:1:pos:R:3 pbc="T T T"
Mg 0.000 0.000 0.000
Cr 3.281 1.709 2.924
Ag 3.196 5.485 5.012
Ag 6.502 3.893 2.069
Cl 2.396 3.935 1.253
Cl 4.371 7.723 4.294
Cl 5.195 6.127 1.442
Cl 4.445 3.253 4.340
Cl 5.238 1.654 1.491
Cl 7.230 5.287 4.421
```

ρ: 3.678 g/cm3
raw formation energy: -22.16 kcal/mol of atoms

No. 6
Compound: Fe2PAu
Source: the Alexandria database
Functional: PBE
Structure: relaxed

The structure in extended XYZ format:
```
8
Lattice="-1.881 1.881 8.542 1.881 -1.881 8.542 1.881 1.881 -8.542" Properties=species:S:1:pos:R:3 pbc="T T T"
Fe 2.822 0.717 -2.135
Fe 0.717 0.941 2.135
Fe -0.941 1.164 6.406
Fe 1.164 0.941 10.677
P 0.000 0.000 0.000
P 0.000 1.881 4.271
Au 1.881 0.000 4.271
Au 0.000 0.000 8.542
```

formation enthalpy at 0 K: 1.48 eV per formula unit
ρ: 9.330 g/cm3

No. 7
Compound: TiCrSi
Source: the Alexandria database
Functional: PBE
Structure: relaxed

The structure in extended XYZ format:
```
3
Lattice="-1.571 1.571 4.078 1.571 -1.571 4.078 1.571 1.571 -4.078" Properties=species:S:1:pos:R:3 pbc="T T T"
Ti 0.000 0.000 0.000
Cr 0.000 0.000 5.456
Si 0.000 0.000 2.600
```

ρ: 5.275 g/cm3
raw formation energy: -9.01 kcal/mol of atoms

No. 8
Compound: UNi2Se4
Source: the Alexandria database
Functional: PBE
Structure: relaxed

The structure in extended XYZ format:
```
7
Lattice="-3.668 3.668 2.558 3.668 -3.668 2.558 3.668 3.668 -2.558" Properties=species:S:1:pos:R:3 pbc="T T T"
U 0.000 0.000 0.000
Ni 3.668 0.000 1.279
Ni 0.000 3.668 1.279
Se 2.532 1.584 0.000
Se 2.084 -1.135 2.558
Se 1.584 4.803 0.000
Se 1.135 2.084 2.558
```

ρ: 8.100 g/cm3
raw formation energy: -8.22 kcal/mol of atoms

No. 9
Compound: HIrPdPt2
Source: the Alexandria database
Functional: PBE
Structure: relaxed

The structure in extended XYZ format:
```
5
Lattice="3.984 0.000 0.000 0.000 3.984 0.000 0.000 0.000 4.030" Properties=species:S:1:pos:R:3 pbc="T T T"
H 0.000 0.000 0.000
Ir 1.992 1.992 2.015
Pd 0.000 0.000 2.015
Pt 0.000 1.992 0.000
Pt 1.992 0.000 0.000
```

ΔE to the lowest computed polymorph: 11.5 meV/atom
ρ: 17.909 g/cm3

No. 10
Compound: ErPa2Ni
Source: the Alexandria database
Functional: PBE
Structure: relaxed

The structure in extended XYZ format:
```
4
Lattice="1.710 0.987 9.395 -1.710 0.987 9.395 0.000 -1.975 9.395" Properties=species:S:1:pos:R:3 pbc="T T T"
Er 0.000 0.000 0.000
Pa 0.000 0.000 6.587
Pa 0.000 0.000 21.599
Ni 0.000 0.000 14.093
```

formation enthalpy at 0 K: 0.29 eV per formula unit
ρ: 12.002 g/cm3

No. 11
Compound: MnFePt2
Source: the Alexandria database
Functional: PBE
Structure: relaxed

The structure in extended XYZ format:
```
4
Lattice="-1.901 1.901 4.020 1.901 -1.901 4.020 1.901 1.901 -4.020" Properties=species:S:1:pos:R:3 pbc="T T T"
Mn 0.000 0.000 0.000
Fe 1.901 0.000 2.010
Pt 0.000 0.000 4.020
Pt 0.000 1.901 2.010
```

formation enthalpy at 0 K: -0.90 eV per formula unit
ρ: 14.314 g/cm3

No. 12
Compound: Tb5Dy2Ga4
Source: the Alexandria database
Functional: PBE
Structure: relaxed

The structure in extended XYZ format:
```
11
Lattice="-2.317 5.464 6.695 2.317 -5.464 6.695 2.317 5.464 -6.695" Properties=species:S:1:pos:R:3 pbc="T T T"
Tb 0.000 0.000 0.000
Tb 2.317 3.627 -1.991
Tb 2.317 3.627 1.991
Tb 0.000 1.837 4.704
Tb 0.000 1.837 8.686
Dy 2.317 0.000 2.628
Dy 0.000 5.464 4.067
Ga 2.317 1.553 0.000
Ga 2.317 0.000 5.454
Ga 0.000 5.464 1.241
Ga 0.000 3.911 6.695
```

formation enthalpy at 0 K: -0.40 eV per formula unit
ρ: 6.849 g/cm3

No. 13
Compound: LaSm2C
Source: the Alexandria database
Functional: PBE
Structure: relaxed

The structure in extended XYZ format:
```
4
Lattice="3.670 0.000 0.000 -1.835 3.178 0.000 0.000 0.000 9.541" Properties=species:S:1:pos:R:3 pbc="T T T"
La 0.000 0.000 0.000
Sm 0.000 2.119 6.174
Sm 1.835 1.059 3.367
C 0.000 0.000 4.770
```

formation enthalpy at 0 K: -0.33 eV per formula unit
ΔE to the lowest computed polymorph: 0.0 meV/atom
ρ: 6.738 g/cm3

No. 14
Compound: AgRu4Br
Source: the Alexandria database
Functional: PBE
Structure: relaxed

The structure in extended XYZ format:
```
6
Lattice="0.000 3.699 3.699 3.699 0.000 3.699 3.699 3.699 0.000" Properties=species:S:1:pos:R:3 pbc="T T T"
Ag 0.000 0.000 0.000
Ru 2.779 2.779 2.779
Ru 4.618 4.618 2.779
Ru 4.618 2.779 4.618
Ru 2.779 4.618 4.618
Br 5.548 5.548 5.548
```

ρ: 9.716 g/cm3
raw formation energy: 23.95 kcal/mol of atoms

No. 15
Compound: NdLu2Ta
Source: the Alexandria database
Functional: PBE
Structure: relaxed

The structure in extended XYZ format:
```
4
Lattice="1.628 0.940 11.709 -1.628 0.940 11.709 0.000 -1.880 11.709" Properties=species:S:1:pos:R:3 pbc="T T T"
Nd 0.000 0.000 0.000
Lu 0.000 0.000 14.658
Lu 0.000 0.000 20.468
Ta 0.000 0.000 17.563
```

formation enthalpy at 0 K: 2.40 eV per formula unit
ρ: 10.431 g/cm3

No. 16
Compound: Pm2GaN
Source: the Alexandria database
Functional: PBE
Structure: relaxed

The structure in extended XYZ format:
```
4
Lattice="1.833 1.058 7.490 -1.833 1.058 7.490 0.000 -2.117 7.490" Properties=species:S:1:pos:R:3 pbc="T T T"
Pm 0.000 0.000 5.159
Pm 0.000 0.000 17.310
Ga 0.000 0.000 0.000
N 0.000 0.000 11.234
```

ΔE to the lowest computed polymorph: 0.0 meV/atom
ρ: 7.117 g/cm3
raw formation energy: -20.61 kcal/mol of atoms

No. 17
Compound: Zn2GaTc
Source: the Alexandria database
Functional: PBE
Structure: relaxed

The structure in extended XYZ format:
```
8
Lattice="4.988 0.000 0.000 0.000 4.345 0.000 -0.097 0.000 5.327" Properties=species:S:1:pos:R:3 pbc="T T T"
Zn 0.726 1.086 0.003
Zn 1.692 3.259 4.231
Zn 3.200 1.086 1.095
Zn 4.166 3.259 5.324
Ga 0.742 1.086 2.698
Ga 4.149 3.259 2.629
Tc 1.721 3.259 1.539
Tc 3.170 1.086 3.788
```

formation enthalpy at 0 K: -0.20 eV per formula unit
ρ: 8.588 g/cm3

No. 18
Compound: LiScCuSe2
Source: the Alexandria database
Functional: PBE
Structure: relaxed

The structure in extended XYZ format:
```
10
Lattice="6.434 0.000 0.000 0.000 4.807 0.000 -0.117 0.000 6.966" Properties=species:S:1:pos:R:3 pbc="T T T"
Li -0.029 0.068 1.742
Li -0.088 4.739 5.225
Sc 3.188 2.405 1.742
Sc 3.129 2.401 5.225
Cu 3.217 0.000 0.000
Cu 3.158 0.000 3.483
Se 1.299 1.457 6.937
Se 1.357 3.350 3.454
Se 4.960 1.457 3.512
Se 5.018 3.350 0.029
```

ρ: 4.214 g/cm3
raw formation energy: -20.65 kcal/mol of atoms

No. 19
Compound: SmLuGaRh
Source: the Alexandria database
Functional: PBE
Structure: relaxed

The structure in extended XYZ format:
```
4
Lattice="0.000 3.513 3.513 3.513 0.000 3.513 3.513 3.513 0.000" Properties=species:S:1:pos:R:3 pbc="T T T"
Sm 0.000 0.000 0.000
Lu 3.513 3.513 3.513
Ga 5.269 5.269 5.269
Rh 1.756 1.756 1.756
```

formation enthalpy at 0 K: -2.62 eV per formula unit
ρ: 9.539 g/cm3

No. 20
Compound: FeMoW2
Source: the Alexandria database
Functional: PBE
Structure: relaxed

The structure in extended XYZ format:
```
4
Lattice="1.586 -2.192 0.000 1.586 2.192 0.000 0.000 0.000 8.673" Properties=species:S:1:pos:R:3 pbc="T T T"
Fe 0.000 0.000 0.000
Mo 1.586 0.000 6.609
W 0.000 0.000 4.343
W 1.586 0.000 2.064
```

formation enthalpy at 0 K: 0.28 eV per formula unit
ΔE to the lowest computed polymorph: 0.2 meV/atom
ρ: 14.310 g/cm3